Record 1
Tc2SbCl: relaxed, PBE.

Cell lengths 3.0028, 3.0616, 9.2572 Å; angles 80.66, 89.42, 90.00 degrees
Fractional positions:
Tc  0.0000  0.0000  0.0000
Tc  0.4946  0.4165  0.1701
Sb  0.9880  0.8126  0.3824
Cl  0.5064  0.1003  0.7957

- total magnetization (Bohr magnetons per cell) = 0.0
- formation energy (no corrections) (kcal/mol of atoms) = -1.70
- energy above the most stable polymorph in this dataset (meV per atom) = 16.5
- total energy (eV per cell) = -27.0
- space-group type = P1
- crystal system = triclinic

***

Record 2
Ho5Zn4Sn: relaxed, PBE.

Cell lengths 3.5771, 3.5771, 18.0853 Å; angles 90.00, 90.00, 90.00 degrees
Fractional positions:
Ho  0.0000  0.0000  0.0000
Ho  0.0000  0.0000  0.1940
Ho  0.0000  0.0000  0.3873
Ho  0.0000  0.0000  0.6127
Ho  0.0000  0.0000  0.8060
Zn  0.5000  0.5000  0.0988
Zn  0.5000  0.5000  0.2874
Zn  0.5000  0.5000  0.7126
Zn  0.5000  0.5000  0.9012
Sn  0.5000  0.5000  0.5000

- total magnetization (Bohr magnetons per cell) = 0.0
- E_form (eV/atom) = -0.404
- total energy (eV per cell) = -36.0
- space-group type = P4/mmm
- crystal system = tetragonal